Density functional theory data (GGA+U) for a geometry-optimized Sr2DyFeO6 structure.

Values from the calculation:
Calculated total energy, eV/atom: -6.669
D(E_F), states/eV per atom: 0.0000
Calculated density, g/cm3: 6.0

```
Sr2DyFeO6
1.0
0.000 4.070 4.070
4.070 0.000 4.070
4.070 4.070 0.000
Sr Dy Fe O
2 1 1 6
Cartesian
2.035 2.035 2.035
6.105 6.105 6.105
0.000 0.000 0.000
4.070 4.070 4.070
4.070 4.070 2.187
4.070 2.187 4.070
5.953 4.070 4.070
2.187 4.070 4.070
4.070 5.953 4.070
4.070 4.070 5.953
```